Record 1
# BiPd2I | the Alexandria database | PBE | relaxed
data_BiPd2I
_chemical_formula_sum 'Bi2 Pd4 I2'
_space_group_name_H-M_alt 'P m n 21'
_space_group_IT_number 31
_cell_length_a 4.988
_cell_length_b 9.097
_cell_length_c 4.389
_cell_angle_alpha 90.00
_cell_angle_beta 90.00
_cell_angle_gamma 90.00
loop_
_space_group_symop_operation_xyz
'x,y,z'
'-x+1/2,-y,z+1/2'
'-x,y,z'
'x+1/2,-y,z+1/2'
loop_
_atom_site_label
_atom_site_fract_x
_atom_site_fract_y
_atom_site_fract_z
Bi1 0.000 0.036 0.000
Pd1 0.000 0.318 0.765
Pd2 0.000 0.822 0.510
I1 0.000 0.622 0.029
# **Offset from the most stable computed form**: 0 meV per atom
# **Mass density**: 9.15 g/cm3
# **Uncorrected formation energy**: -106 meV per atom

=====

Record 2
# BiPd3I | the Alexandria database | PBE | relaxed
data_BiPd3I
_chemical_formula_sum 'Bi1 Pd3 I1'
_space_group_name_H-M_alt 'P m -3 m'
_space_group_IT_number 221
_space_group_name_Hall '-P 4 2 3'
_cell_length_a 5.172
_cell_length_b 5.172
_cell_length_c 5.172
_cell_angle_alpha 90.00
_cell_angle_beta 90.00
_cell_angle_gamma 90.00
loop_
_atom_site_label
_atom_site_fract_x
_atom_site_fract_y
_atom_site_fract_z
Bi1 0.000 0.000 0.000
Pd1 0.000 0.000 0.500
I1 0.500 0.500 0.500
# **Offset from the most stable computed form**: 640 meV per atom
# **Mass density**: 7.86 g/cm3
# **Uncorrected formation energy**: 585 meV per atom